No. 1
First-principles (PBE) data for an optimized crystal structure of AcSmTh2, as listed in Alexandria.

Values from the calculation:
- Raw total energy: -67.84 eV/cell
- DFT formation energy: 0.264 eV per atom
- Energy relative to the lowest polymorph listed for this composition: 0.60 eV/f.u.
- Density: 9.69 g cm⁻³

abc: 3.6005 3.6005 38.5346
angles: 90.00 90.00 120.00
Closest atoms and distances in Å follow each position.
Space group R-3m (No. 166, hexagonal axes)
One atom of each set of equivalent atoms:
Ac  0.0000  0.0000  0.0000 (multiplicity 3)  2 Th 3.49, 6 Ac 3.60
Sm  0.0000  0.0000  0.5000 (multiplicity 3)  6 Th 3.59, 6 Sm 3.60
Th  0.0000  0.0000  0.0906 (multiplicity 6)  1 Ac 3.49, 3 Sm 3.59, 6 Th 3.60

No. 2
First-principles (PBE) data for an optimized crystal structure of Pr2TmSn, as listed in Alexandria.

Values from the calculation:
- Raw total energy: -76.29 eV/cell
- DFT formation energy: -0.260 eV per atom
- Energy relative to the lowest polymorph listed for this composition: 0.64 eV/f.u.
- Density: 7.83 g cm⁻³

abc: 7.8462 7.8462 7.8462
angles: 90.00 90.00 90.00
Closest atoms and distances in Å follow each position.
Space group Fm-3m (No. 225)
One atom of each set of equivalent atoms:
Pr  0.2500  0.2500  0.2500 (multiplicity 8)  4 Sn 3.40, 4 Tm 3.40
Tm  0.0000  0.0000  0.0000 (multiplicity 4)  8 Pr 3.40
Sn  0.0000  0.0000  0.5000 (multiplicity 4)  8 Pr 3.40

No. 3
First-principles (PBE) data for an optimized crystal structure of CaMg2TlH, as listed in Alexandria.

Values from the calculation:
- Raw total energy: -11.83 eV/cell
- Density: 4.82 g cm⁻³

abc: 4.6985 4.6985 4.5877
angles: 90.00 90.00 90.00
Closest atoms and distances in Å follow each position.
Space group P4/mmm (No. 123)
One atom of each set of equivalent atoms:
Ca  0.0000  0.0000  0.0000 (multiplicity 1)  2 H 2.29
Mg  0.0000  0.5000  0.5000 (multiplicity 2)  2 H 2.35
Tl  0.5000  0.5000  0.0000 (multiplicity 1)  8 Mg 3.28, 4 Ca 3.32
H  0.0000  0.0000  0.5000 (multiplicity 1)  2 Ca 2.29, 4 Mg 2.35

No. 4
First-principles (PBE) data for an optimized crystal structure of KRb2NaBr, as listed in Alexandria.

Values from the calculation:
- Raw total energy: -8.83 eV/cell
- Energy relative to the elements, uncorrected: -0.562 eV per atom
- Energy relative to the lowest polymorph listed for this composition: 0.32 eV/f.u.
- Density: 1.72 g cm⁻³

abc: 7.0149 7.0149 6.1396
angles: 90.00 90.00 90.00
Closest atoms and distances in Å follow each position.
Space group P4/mmm (No. 123)
One atom of each set of equivalent atoms:
K  0.0000  0.0000  0.0000 (multiplicity 1)  8 Rb 4.66, 4 Na 4.96
Rb  0.0000  0.5000  0.5000 (multiplicity 2)  2 Br 3.51
Na  0.5000  0.5000  0.0000 (multiplicity 1)  2 Br 3.07
Br  0.5000  0.5000  0.5000 (multiplicity 1)  2 Na 3.07

No. 5
First-principles (PBE) data for an optimized crystal structure of LiPuScO4, as listed in Alexandria.

Values from the calculation:
- Raw total energy: -250.48 eV/cell
- Energy relative to the elements, uncorrected: -2.887 eV per atom
- Density: 6.89 g cm⁻³

abc: 6.7444 7.1213 7.2253
angles: 90.00 90.00 90.00
Closest atoms and distances in Å follow each position.
Space group Imma (No. 74)
One atom of each set of equivalent atoms:
Li  0.0000  0.0000  0.0000 (multiplicity 4)  2 O 1.93
Pu  0.2500  0.2500  0.2500 (multiplicity 4)  6 O 2.22-2.23
Sc  0.0000  0.2500  0.7058 (multiplicity 4)  6 O 2.13-2.27
O  0.0000  0.0473  0.2629 (multiplicity 8)  1 Li 1.93, 1 Sc 2.13
O  0.2204  0.2500  0.9427 (multiplicity 8)  2 Sc 2.17-2.27, 1 Pu 2.23, 2 Li 2.36

No. 6
First-principles (PBE) data for an optimized crystal structure of La5Nd2Y6, as listed in Alexandria.

Values from the calculation:
- Raw total energy: -143.56 eV/cell
- DFT formation energy: 0.091 eV per atom
- Density: 5.54 g cm⁻³

abc: 11.8692 20.9782 3.6513
angles: 90.00 90.00 90.00
Closest atoms and distances in Å follow each position.
Space group Pbam (No. 55)
One atom of each set of equivalent atoms:
La  0.0000  0.0000  0.0000 (multiplicity 2)  6 Y 3.44-3.56, 4 La 3.65-3.66
La  0.0789  0.2736  0.0000 (multiplicity 4)  5 Y 3.44-3.58, 4 Nd 3.52-3.69, 2 La 3.65
La  0.2029  0.5469  0.0000 (multiplicity 4)  7 Y 3.64-4.08, 3 La 3.65-3.66, 2 Nd 3.93
Nd  0.1737  0.7118  0.5000 (multiplicity 4)  3 Y 3.39-3.68, 4 La 3.52-3.69, 2 Nd 3.65
Y  0.0594  0.4198  0.5000 (multiplicity 4)  6 La 3.58-3.68, 5 Y 3.65-3.78, 1 Nd 3.91
Y  0.0780  0.1317  0.5000 (multiplicity 4)  1 Nd 3.39, 6 La 3.44-3.64, 4 Y 3.57-3.65
Y  0.1801  0.8643  0.0000 (multiplicity 4)  2 La 3.44-3.56, 6 Y 3.57-3.78, 2 Nd 3.68

- Which value of raw total energy does entry 1 give?
  -67.84 eV/cell